(1)
Here is crystalline ThCoMo at its relaxed geometry from OQMD. Energies are from PBE.

The space group is F-43m (No. 216) and the conventional cell measures 6.293, 6.293 and 6.293 Å, with angles of 90.00, 90.00 and 90.00 degrees. Symmetry generates all atoms from Th at (0.000, 0.000, 0.000), Co at (0.250, 0.250, 0.750) and Mo at (0.000, 0.000, 0.500).

As for the formation energy: 479 meV/atom.

(2)
Here is crystalline RbTmFeS3 at its relaxed geometry from OQMD. Energies are from PBE.

The space group is P2_1/m (No. 11) and the conventional cell measures 9.018, 3.927 and 9.434 Å, with angles of 90.00, 110.07 and 90.00 degrees. Symmetry generates all atoms from Rb at (0.212, 0.250, 0.238), Tm at (0.335, 0.750, 0.855), Fe at (0.076, 0.250, 0.594), S at (0.120, 0.250, 0.847), S at (0.197, 0.750, 0.540) and S at (0.466, 0.750, 0.155).

The total energy is -34.21 eV/f.u.

(3)
Here is crystalline LaAg2 at its relaxed geometry from OQMD. Energies are from PBE.

The space group is Imma (No. 74) and the conventional cell measures 4.845, 7.257 and 8.252 Å, with angles of 90.00, 90.00 and 90.00 degrees. Symmetry generates all atoms from La at (0.000, 0.250, 0.035) and Ag at (0.000, 0.042, 0.665).

As for the formation energy: -307 meV/atom.

(4)
Here is crystalline HfCuHgSb at its relaxed geometry from OQMD. Energies are from PBE.

The space group is F-43m (No. 216) and the conventional cell measures 6.937, 6.937 and 6.937 Å, with angles of 90.00, 90.00 and 90.00 degrees. Symmetry generates all atoms from Hf at (0.000, 0.000, 0.000), Cu at (0.250, 0.250, 0.750), Hg at (0.250, 0.250, 0.250) and Sb at (0.000, 0.000, 0.500).

The total energy is -16.81 eV/f.u.

(5)
Here is crystalline Zr2In3W4N3 at its relaxed geometry from OQMD. Energies are from PBE.

The space group is C2/c (No. 15) and the conventional cell measures 9.671, 5.602 and 14.183 Å, with angles of 90.00, 102.89 and 90.00 degrees. Symmetry generates all atoms from Zr at (0.056, 0.086, 0.404), In at (0.000, 0.466, 0.250), In at (0.191, 0.111, 0.747), W at (0.109, 0.430, 0.574), W at (0.218, 0.409, 0.926), N at (0.078, 0.236, 0.000) and N at (0.250, 0.250, 0.500).

The total energy is -104.45 eV/f.u.

(6)
Here is crystalline RbLiThTe3 at its relaxed geometry from OQMD. Energies are from PBE.

The space group is Cmcm (No. 63) and the conventional cell measures 4.605, 15.859 and 11.951 Å, with angles of 90.00, 90.00 and 90.00 degrees. Symmetry generates all atoms from Rb at (0.000, 0.244, 0.250), Li at (0.000, 0.037, 0.750), Th at (0.000, 0.500, 0.000), Te at (0.000, 0.129, 0.554) and Te at (0.000, 0.439, 0.750).

The total energy is -26.98 eV/f.u.

(7)
Here is crystalline TaCuNiSb at its relaxed geometry from OQMD. Energies are from PBE.

The space group is F-43m (No. 216) and the conventional cell measures 6.333, 6.333 and 6.333 Å, with angles of 90.00, 90.00 and 90.00 degrees. Symmetry generates all atoms from Ta at (0.000, 0.000, 0.000), Cu at (0.250, 0.250, 0.750), Ni at (0.000, 0.000, 0.500) and Sb at (0.250, 0.250, 0.250).

The total energy is -24.25 eV/f.u.

(8)
Here is crystalline GdLuPO at its relaxed geometry from OQMD. Energies are from PBE.

The space group is Pmc2_1 (No. 26) and the conventional cell measures 4.098, 7.506 and 5.378 Å, with angles of 90.00, 90.00 and 90.00 degrees. Symmetry generates all atoms from Gd at (0.000, 0.133, 0.000), Lu at (0.500, 0.290, 0.482), P at (0.500, 0.355, 0.980) and O at (0.000, 0.176, 0.463).

The total energy is -27.53 eV/f.u.

no.,magnetization (μB per formula unit)
1,2.215
2,3.998
3,0.014
4,0.005
5,0.004
6,0.003
7,0.002
8,0.002